{"formula": "MgInW2", "functional": "PBE", "state": "relaxed", "e_form_ev_per_atom": 0.62, "vol_a3_per_atom": 17.889, "spacegroup": "P4/mmm", "e_above_lowest_polymorph_ev_per_atom": 0.317, "cell": [[-1.6134, -0.5640, -2.2096], [1.2006, -2.5113, -0.2357], [-6.3642, -3.5641, 5.5565]], "species": ["In", "W", "W", "Mg"], "fractional_positions": [[0.5000, 0.5000, 0.2500], [0.0000, 0.0000, 0.5002], [0.0000, 0.0000, 0.9998], [0.5000, 0.5000, 0.7500]]}